A geometry-optimized SmZnGe structure, computed with PBE.

Cell: 4.8035 4.8035 4.8035 Å, 60.00 60.00 60.00°
Closest atoms and distances in Å follow each position.
Positions (direct):
Sm  0.0000  0.0000  0.0000  4 Ge 2.94, 4 Zn 2.94
Zn  0.2500  0.2500  0.2500  4 Sm 2.94
Ge  0.7500  0.7500  0.7500  4 Sm 2.94

- Crystal system: cubic
- Space-group type: No. 216
- VASP energy: -3.628 eV per atom
- Magnetic moment: 0.000 μB/atom



A geometry-optimized NaScGePt structure, computed with PBE.

Cell: 4.6932 4.6932 4.6932 Å, 60.00 60.00 60.00°
Closest atoms and distances in Å follow each position.
Positions (direct):
Na  0.0000  0.0000  0.0000  4 Ge 2.87, 4 Pt 2.87
Sc  0.5000  0.5000  0.5000  4 Ge 2.87, 4 Pt 2.87
Ge  0.7500  0.7500  0.7500  4 Sc 2.87, 4 Na 2.87
Pt  0.2500  0.2500  0.2500  4 Sc 2.87, 4 Na 2.87

- Polymorph energy (0 for the lowest one): 0.506 eV/f.u.
- Crystal system: cubic
- Space-group type: No. 216
- Magnetic moment: 0.000 μB/atom



A geometry-optimized Ho4B7 structure, computed with PBE.

Cell: 3.7218 3.7652 11.7013 Å, 82.82 88.12 89.16°
Closest atoms and distances in Å follow each position.
Positions (direct):
Ho  0.0245  0.0608  0.3461  9 B 2.58-2.78
Ho  0.4662  0.3742  0.8637  7 B 2.59-2.84
Ho  0.5338  0.6258  0.1363  7 B 2.59-2.84
Ho  0.9755  0.9392  0.6539  9 B 2.58-2.78
B  0.0000  0.0000  0.0000  2 B 1.58
B  0.0400  0.1209  0.1236  1 B 1.58
B  0.2535  0.4989  0.5008  4 B 1.72-1.89
B  0.4832  0.4510  0.6269  2 B 1.72-1.75
B  0.5168  0.5490  0.3731  2 B 1.72-1.75
B  0.7465  0.5011  0.4992  4 B 1.72-1.89
B  0.9600  0.8791  0.8764  1 B 1.58

- Crystal system: triclinic
- Space-group type: No. 2
- VASP energy: -6.134 eV per atom
- Magnetic moment: 0.000 μB/atom



A geometry-optimized LiTb3Pt8 structure, computed with PBE.

Cell: 9.3712 9.3712 9.3712 Å, 33.56 33.56 33.56°
Closest atoms and distances in Å follow each position.
Positions (direct):
Li  0.0000  0.0000  0.0000  12 Pt 2.97-3.31, 4 Tb 3.20-3.30
Tb  0.3597  0.3597  0.3597  12 Pt 3.04-3.27, 3 Li 3.20, 1 Tb 3.41
Tb  0.4882  0.4882  0.4882  12 Pt 3.13-3.22, 4 Tb 3.41-3.44
Tb  0.8756  0.8756  0.8756  12 Pt 3.04-3.39, 1 Li 3.30
Pt  0.1783  0.1783  0.1783  6 Pt 2.70-2.71
Pt  0.4296  0.4296  0.9254  6 Pt 2.68-2.73
Pt  0.4296  0.9254  0.4296  6 Pt 2.68-2.73
Pt  0.4297  0.9282  0.9282  6 Pt 2.70-2.71, 1 Li 2.97
Pt  0.6782  0.6782  0.6782  6 Pt 2.70-2.71
Pt  0.9254  0.4295  0.4296  6 Pt 2.68-2.73
Pt  0.9282  0.4297  0.9282  6 Pt 2.70-2.71, 1 Li 2.97
Pt  0.9282  0.9282  0.4297  6 Pt 2.70-2.71, 1 Li 2.97

- Crystal system: trigonal
- Space-group type: No. 160
- VASP energy: -6.351 eV per atom
- Magnetic moment: 0.001 μB/atom



A geometry-optimized HgIrAu2 structure, computed with PBE.

Cell: 4.6374 4.6374 4.6374 Å, 60.00 60.00 60.00°
Closest atoms and distances in Å follow each position.
Positions (direct):
Hg  0.0000  0.0000  0.0000  4 Ir 2.84, 4 Au 2.84
Ir  0.2500  0.2500  0.2500  4 Hg 2.84, 4 Au 2.84
Au  0.5000  0.5000  0.5000  4 Ir 2.84, 4 Au 2.84
Au  0.7500  0.7500  0.7500  4 Hg 2.84, 4 Au 2.84

- Crystal system: cubic
- Space-group type: No. 216
- Formation energy from the elements: 0.39 eV per atom
- Magnetic moment: 0.002 μB/atom



A geometry-optimized ErSe structure, computed with PBE.

Cell: 4.0198 4.0198 9.8850 Å, 90.00 90.00 120.00°
Closest atoms and distances in Å follow each position.
Positions (direct):
Er  0.0000  0.0000  0.0000  6 Se 2.84
Er  0.3333  0.6667  0.6669  6 Se 2.85
Er  0.6667  0.3333  0.3331  6 Se 2.85
Se  0.0000  0.0000  0.5000  6 Er 2.85
Se  0.3333  0.6667  0.1655  6 Er 2.84-2.85
Se  0.6667  0.3333  0.8345  6 Er 2.84-2.85

- Crystal system: trigonal
- Space-group type: No. 164
- VASP energy: -5.715 eV per atom
- Magnetic moment: 0.003 μB/atom



A geometry-optimized CuAg9 structure, computed with PBE.

Cell: 7.1336 2.9276 8.6271 Å, 90.00 104.85 90.00°
Closest atoms and distances in Å follow each position.
Positions (direct):
Cu  0.0000  0.0000  0.0000  10 Ag 2.80-2.97, 2 Cu 2.93
Ag  0.1008  0.5000  0.2863  2 Cu 2.80, 10 Ag 2.84-2.97
Ag  0.1953  0.0000  0.5964  12 Ag 2.86-2.97
Ag  0.2878  0.5000  0.9040  2 Cu 2.81, 10 Ag 2.84-3.06
Ag  0.4067  0.0000  0.1985  11 Ag 2.87-2.94, 1 Cu 2.97
Ag  0.5000  0.5000  0.5000  12 Ag 2.91-2.97
Ag  0.5933  0.0000  0.8015  11 Ag 2.87-2.94, 1 Cu 2.97
Ag  0.7122  0.5000  0.0960  2 Cu 2.81, 10 Ag 2.84-3.06
Ag  0.8047  0.0000  0.4036  12 Ag 2.86-2.97
Ag  0.8992  0.5000  0.7137  2 Cu 2.80, 10 Ag 2.84-2.97

- Polymorph energy (0 for the lowest one): 0.093 eV/f.u.
- Crystal system: monoclinic
- Space-group type: No. 10
- Formation energy from the elements: 0.03 eV per atom



A geometry-optimized PAuO4 structure, computed with PBE.

Cell: 4.6735 4.6735 5.8108 Å, 128.32 128.32 56.85°
Closest atoms and distances in Å follow each position.
Positions (direct):
P  0.0000  0.0000  0.0000  4 O 1.56
Au  0.2498  0.7502  0.5000  4 O 2.01-2.02
O  0.0825  0.6705  0.6989  1 P 1.56
O  0.3295  0.9175  0.3011  1 P 1.56
O  0.6163  0.0284  0.9463  1 P 1.56
O  0.9716  0.3837  0.0537  1 P 1.56

- Polymorph energy (0 for the lowest one): 0.404 eV/f.u.
- Crystal system: monoclinic
- Space-group type: No. 5



A geometry-optimized TaCuSn2 structure, computed with PBE.

Cell: 4.8431 4.8431 4.8431 Å, 60.00 60.00 60.00°
Closest atoms and distances in Å follow each position.
Positions (direct):
Ta  0.0000  0.0000  0.0000  4 Sn 2.97, 4 Cu 2.97
Cu  0.2500  0.2500  0.2500  4 Sn 2.97, 4 Ta 2.97
Sn  0.5000  0.5000  0.5000  4 Cu 2.97, 4 Sn 2.97
Sn  0.7500  0.7500  0.7500  4 Sn 2.97, 4 Ta 2.97

- Crystal system: cubic
- Space-group type: No. 216
- VASP energy: -5.237 eV per atom
- Magnetic moment: 0.108 μB/atom



A geometry-optimized LiErInAu structure, computed with PBE.

Cell: 4.8199 4.8199 4.8199 Å, 60.00 60.00 60.00°
Closest atoms and distances in Å follow each position.
Positions (direct):
Li  0.0000  0.0000  0.0000  4 In 2.95, 4 Er 2.95
Er  0.2500  0.2500  0.2500  4 Li 2.95, 4 Au 2.95
In  0.7500  0.7500  0.7500  4 Li 2.95, 4 Au 2.95
Au  0.5000  0.5000  0.5000  4 In 2.95, 4 Er 2.95

- Crystal system: cubic
- Space-group type: No. 216
- VASP energy: -3.747 eV per atom
- Magnetic moment: 0.000 μB/atom



A geometry-optimized TmInNi structure, computed with PBE.

Cell: 7.2780 7.2780 3.8495 Å, 90.00 90.00 120.00°
Closest atoms and distances in Å follow each position.
Positions (direct):
Tm  0.0000  0.5894  0.0000  5 Ni 2.92-2.99, 6 In 3.11-3.24
Tm  0.4106  0.4106  0.0000  5 Ni 2.92-2.99, 6 In 3.11-3.24
Tm  0.5894  0.0000  0.0000  5 Ni 2.92-2.99, 6 In 3.11-3.24
In  0.0000  0.2534  0.5000  4 Ni 2.67-2.76
In  0.2534  0.0000  0.5000  4 Ni 2.67-2.76
In  0.7466  0.7466  0.5000  4 Ni 2.67-2.76
Ni  0.0000  0.0000  0.0000  6 In 2.67
Ni  0.3333  0.6667  0.5000  3 In 2.76, 6 Tm 2.92
Ni  0.6667  0.3333  0.5000  3 In 2.76, 6 Tm 2.92

- Crystal system: hexagonal
- Space-group type: No. 189
- VASP energy: -4.771 eV per atom
- Magnetic moment: 0.000 μB/atom



A geometry-optimized GdAgSnSe3 structure, computed with PBE.

Cell: 11.9148 4.2764 12.0155 Å, 90.00 90.00 90.00°
Closest atoms and distances in Å follow each position.
Positions (direct):
Gd  0.0208  0.2500  0.1810  6 Se 2.86-3.04
Gd  0.4792  0.7500  0.6810  6 Se 2.86-3.04
Gd  0.5208  0.2500  0.3190  6 Se 2.86-3.04
Gd  0.9792  0.7500  0.8190  6 Se 2.86-3.04
Ag  0.2429  0.7500  0.3053  4 Se 2.57-2.71
Ag  0.2571  0.2500  0.8053  4 Se 2.57-2.71
Ag  0.7429  0.7500  0.1947  4 Se 2.57-2.71
Ag  0.7571  0.2500  0.6947  4 Se 2.57-2.71
Sn  0.1719  0.2500  0.5078  3 Se 2.87-2.98
Sn  0.3281  0.7500  0.0078  3 Se 2.87-2.98
Sn  0.6719  0.2500  0.9922  3 Se 2.87-2.98
Sn  0.8281  0.7500  0.4922  3 Se 2.87-2.98
Se  0.0284  0.7500  0.3590  1 Ag 2.64, 1 Sn 2.87
Se  0.0864  0.2500  0.9360  1 Ag 2.57, 2 Gd 2.86
Se  0.2326  0.7500  0.6693  2 Ag 2.71, 1 Gd 2.94, 2 Sn 2.98
Se  0.2674  0.2500  0.1693  2 Ag 2.71, 1 Gd 2.94, 2 Sn 2.98
Se  0.4136  0.7500  0.4360  1 Ag 2.57, 2 Gd 2.86
Se  0.4716  0.2500  0.8590  1 Ag 2.64, 1 Sn 2.87
Se  0.5284  0.7500  0.1410  1 Ag 2.64, 1 Sn 2.87
Se  0.5864  0.2500  0.5640  1 Ag 2.57, 2 Gd 2.86
Se  0.7326  0.7500  0.8307  2 Ag 2.71, 1 Gd 2.94, 2 Sn 2.98
Se  0.7674  0.2500  0.3307  2 Ag 2.71, 1 Gd 2.94, 2 Sn 2.98
Se  0.9136  0.7500  0.0640  1 Ag 2.57, 2 Gd 2.86
Se  0.9716  0.2500  0.6410  1 Ag 2.64, 1 Sn 2.87

- Polymorph energy (0 for the lowest one): 0.129 eV/f.u.
- Crystal system: orthorhombic
- Space-group type: No. 62
- Magnetic moment: 0.001 μB/atom